A | Entry from the Alexandria database: crystalline RbMoCl3 at its relaxed geometry (PBE-GGA).

```
5
Lattice="5.878 0.000 0.000 0.000 5.878 0.000 0.000 0.000 5.878" Properties=species:S:1:pos:R:3 pbc="T T T"
Rb 0.000 0.000 0.000
Cl 0.000 2.939 0.000
Cl 2.939 0.000 0.000
Cl 0.000 0.000 2.939
Mo 2.939 2.939 2.939
```

Space-group type: Pm-3m

=====

B | Entry from the Alexandria database: crystalline RbMoCl3 at its relaxed geometry (PBE-GGA).

```
5
Lattice="5.198 0.000 0.000 0.000 5.198 0.000 0.000 0.000 5.198" Properties=species:S:1:pos:R:3 pbc="T T T"
Mo 0.000 0.000 0.000
Cl 0.000 0.000 2.599
Cl 0.000 2.599 0.000
Cl 2.599 0.000 0.000
Rb 2.599 2.599 2.599
```

Space-group type: Pm-3m

=====

C | Entry from the Alexandria database: crystalline RbMoCl3 at its relaxed geometry (PBE-GGA).

```
10
Lattice="4.730 -0.008 0.004 -2.364 7.299 1.219 -0.008 2.015 8.463" Properties=species:S:1:pos:R:3 pbc="T T T"
Cl 2.443 6.033 4.322
Cl 2.437 5.569 8.963
Cl 0.076 6.385 6.732
Cl 2.434 2.646 6.334
Cl 0.073 3.462 4.103
Cl 0.076 0.983 0.281
Mo 2.439 5.062 6.571
Mo 0.072 3.969 6.495
Rb 0.081 5.603 1.612
Rb 2.437 1.413 2.992
```

Space-group type: P-1

=====

Quick one: most stable of them? C

=====

A | Entry from the Alexandria database: crystalline Rb3MoCl8 at its relaxed geometry (PBE-GGA).

```
12
Lattice="7.345 0.000 0.000 0.000 7.345 0.000 -3.673 -3.673 7.145" Properties=species:S:1:pos:R:3 pbc="T T T"
Cl 1.499 1.499 1.497
Cl 2.174 -2.174 5.649
Cl 5.847 1.499 1.497
Cl 1.499 5.847 1.497
Cl 2.174 2.174 5.649
Cl 5.847 5.847 1.497
Cl -2.174 2.174 5.649
Cl -2.174 -2.174 5.649
Mo 0.000 0.000 0.000
Rb 3.673 3.673 0.000
Rb 0.000 3.673 3.573
Rb 3.673 0.000 3.573
```

Space-group type: I4/mmm

=====

B | Entry from the Alexandria database: crystalline Rb3MoCl8 at its relaxed geometry (PBE-GGA).

```
24
Lattice="-0.117 8.950 -2.070 -7.137 -1.630 -6.648 -2.358 2.135 9.363" Properties=species:S:1:pos:R:3 pbc="T T T"
Cl -5.855 3.451 2.960
Cl -3.449 4.001 5.201
Cl -2.654 3.281 2.044
Cl -4.277 3.840 -3.705
Cl -0.053 4.085 -0.945
Cl -4.486 0.495 2.227
Cl -0.111 8.560 -1.980
Cl -6.174 6.375 -4.769
Cl -7.463 4.010 -2.794
Cl -6.969 7.094 -1.612
Cl -2.091 1.042 4.458
Cl -4.028 6.760 2.666
Cl -5.068 4.557 -0.563
Cl -3.768 6.924 -2.528
Cl -5.562 1.030 -1.636
Cl -5.278 1.211 5.369
Mo -5.620 5.445 -2.657
Mo -3.969 2.225 3.715
Rb -7.712 1.870 0.466
Rb -3.168 7.804 5.479
Rb -1.888 6.645 0.397
Rb -7.042 6.919 1.871
Rb -2.558 1.597 -1.008
Rb -6.431 0.712 -4.616
```

Space-group type: P6_3mc

=====

Quick one: most stable of them? B

=====

A | Entry from the Alexandria database: crystalline RbMoCl2 at its relaxed geometry (PBE-GGA).

```
4
Lattice="-6.224 5.999 3.616 -2.926 7.248 5.168 -3.923 8.355 1.615" Properties=species:S:1:pos:R:3 pbc="T T T"
Cl -1.569 2.592 1.248
Cl -11.505 19.009 9.151
Mo -6.537 10.801 5.199
Rb 0.000 0.000 0.000
```

Space-group type: R-3m

=====

B | Entry from the Alexandria database: crystalline RbMoCl2 at its relaxed geometry (PBE-GGA).

```
4
Lattice="1.941 0.000 9.527 -0.970 1.681 9.527 -0.970 -1.681 9.527" Properties=species:S:1:pos:R:3 pbc="T T T"
Mo 0.000 0.000 0.000
Cl 0.000 0.000 26.218
Cl 0.000 0.000 2.363
Rb 0.000 0.000 14.290
```

Space-group type: R-3m

=====

C | Entry from the Alexandria database: crystalline RbMoCl2 at its relaxed geometry (PBE-GGA).

```
4
Lattice="5.159 -1.176 0.647 1.422 -4.287 2.830 2.096 -4.241 -2.457" Properties=species:S:1:pos:R:3 pbc="T T T"
Mo 4.338 -4.852 0.510
Cl 2.169 -2.426 0.255
Cl 6.507 -7.278 0.765
Rb 0.000 0.000 0.000
```

Space-group type: Fm-3m

=====

Quick one: most stable of them? B

=====

A | Entry from the Alexandria database: crystalline RbMoS2Cl at its relaxed geometry (PBE-GGA).

```
5
Lattice="4.709 0.000 0.000 0.000 4.709 0.000 0.000 0.000 5.302" Properties=species:S:1:pos:R:3 pbc="T T T"
Cl 0.000 0.000 2.651
Rb 2.354 2.354 2.651
Mo 0.000 0.000 0.000
S 2.354 0.000 0.000
S 0.000 2.354 0.000
```

Space-group type: P4/mmm

=====

B | Entry from the Alexandria database: crystalline RbMoS2Cl at its relaxed geometry (PBE-GGA).

```
5
Lattice="5.787 0.000 0.000 0.000 5.787 0.000 0.000 0.000 5.731" Properties=species:S:1:pos:R:3 pbc="T T T"
Cl 0.000 0.000 2.865
Rb 0.000 0.000 0.000
S 0.000 2.894 0.000
S 2.894 0.000 0.000
Mo 2.894 2.894 2.865
```

Space-group type: P4/mmm

=====

Quick one: most stable of them? A

=====

A | Entry from the Alexandria database: crystalline RbMoSCl2 at its relaxed geometry (PBE-GGA).

```
5
Lattice="5.171 0.000 0.000 0.000 5.171 0.000 0.000 0.000 4.637" Properties=species:S:1:pos:R:3 pbc="T T T"
Cl 0.000 2.586 0.000
Cl 2.586 0.000 0.000
S 0.000 0.000 2.319
Rb 2.586 2.586 2.319
Mo 0.000 0.000 0.000
```

Space-group type: P4/mmm

=====

B | Entry from the Alexandria database: crystalline RbMoSCl2 at its relaxed geometry (PBE-GGA).

```
5
Lattice="5.864 0.000 0.000 0.000 5.864 0.000 0.000 0.000 5.853" Properties=species:S:1:pos:R:3 pbc="T T T"
S 0.000 0.000 2.926
Rb 0.000 0.000 0.000
Cl 0.000 2.932 0.000
Cl 2.932 0.000 0.000
Mo 2.932 2.932 2.926
```

Space-group type: P4/mmm

=====

Quick one: most stable of them? A

=====

A | Entry from the Alexandria database: crystalline ReMoCl2 at its relaxed geometry (PBE-GGA).

```
4
Lattice="-9.050 -3.657 -0.715 -8.619 -4.067 2.226 -9.607 -1.423 1.209" Properties=species:S:1:pos:R:3 pbc="T T T"
Cl -6.150 -2.062 0.613
Cl -0.658 -0.221 0.066
Re -20.595 -6.906 2.053
Mo -13.512 -4.531 1.347
```

Space-group type: R3m

=====

B | Entry from the Alexandria database: crystalline ReMoCl2 at its relaxed geometry (PBE-GGA).

```
4
Lattice="-1.850 -1.356 -1.614 3.948 -1.311 -3.425 0.727 -3.658 2.239" Properties=species:S:1:pos:R:3 pbc="T T T"
Cl 1.049 -1.334 -2.519
Cl 0.000 0.000 0.000
Mo -0.561 -2.507 0.313
Re 2.337 -2.484 -0.593
```

Space-group type: Pmmm

=====

Quick one: most stable of them? A

=====

A | Entry from the Alexandria database: crystalline ReMo3Cl at its relaxed geometry (PBE-GGA).

```
5
Lattice="-2.052 -2.794 -3.342 3.958 -2.739 -0.140 -1.819 -2.806 3.464" Properties=species:S:1:pos:R:3 pbc="T T T"
Re 0.000 0.000 0.000
Mo -0.910 -1.403 1.732
Mo 1.979 -1.369 -0.070
Mo -1.026 -1.397 -1.671
Cl 0.043 -4.170 -0.009
```

Space-group type: Pm-3m

=====

B | Entry from the Alexandria database: crystalline ReMo3Cl at its relaxed geometry (PBE-GGA).

```
5
Lattice="-1.322 0.502 4.119 1.171 -4.102 0.876 3.981 1.374 1.110" Properties=species:S:1:pos:R:3 pbc="T T T"
Mo 0.586 -2.051 0.438
Mo 1.990 0.687 0.555
Mo -0.661 0.251 2.059
Re 1.915 -1.113 3.053
Cl 0.000 0.000 0.000
```

Space-group type: Pm-3m

=====

Quick one: most stable of them? B

=====

A | Entry from the Alexandria database: crystalline ReMoCl3 at its relaxed geometry (PBE-GGA).

```
5
Lattice="-0.191 0.553 4.831 4.808 -0.699 0.270 0.725 4.784 -0.519" Properties=species:S:1:pos:R:3 pbc="T T T"
Cl 2.404 -0.350 0.135
Cl 0.362 2.392 -0.259
Cl -0.096 0.276 2.416
Mo 2.671 2.319 2.291
Re 0.000 0.000 0.000
```

Space-group type: Pm-3m

=====

B | Entry from the Alexandria database: crystalline ReMoCl3 at its relaxed geometry (PBE-GGA).

```
5
Lattice="5.088 0.000 0.000 0.000 5.088 0.000 0.000 0.000 5.088" Properties=species:S:1:pos:R:3 pbc="T T T"
Mo 0.000 0.000 0.000
Cl 0.000 0.000 2.544
Cl 0.000 2.544 0.000
Cl 2.544 0.000 0.000
Re 2.544 2.544 2.544
```

Space-group type: Pm-3m

=====

Quick one: most stable of them? B